(1)
Below is a relaxed structure of CaLaHo2, with properties calculated at the PBE level.

```
4
Lattice="1.8235 1.0528 12.0631 -1.8235 1.0528 12.0631 0.0000 -2.1056 12.0631" Properties=species:S:1:pos:R:3 pbc="T T T"
Ca 0.0000 0.0000 0.0000
La 0.0000 0.0000 18.0947
Ho 0.0000 0.0000 8.9412
Ho 0.0000 0.0000 27.2481
```

Summary:
Energy (eV per atom): -3.946
Excess energy over the best structure of this formula in the dataset (meV/atom): 6
Fermi-level density of states (states/eV/atom): 1.77
SG: R-3m



(2)
Below is a relaxed structure of RbCr2PS, with properties calculated at the PBE level.

```
5
Lattice="4.7139 0.0000 0.0000 0.0000 4.7139 0.0000 0.0000 0.0000 5.5212" Properties=species:S:1:pos:R:3 pbc="T T T"
Rb 0.0000 0.0000 0.0000
Cr 0.0000 2.3569 2.7606
Cr 2.3569 0.0000 2.7606
P 2.3569 2.3569 2.7606
S 2.3569 2.3569 0.0000
```

Summary:
Energy (eV per atom): -5.589
Fermi-level density of states (states/eV/atom): 0.67
SG: P4/mmm